A relaxed structure of CeUO2, computed with GGA-PBE.

Computed properties:
N(E_F): 9.23 states/eV per cell
VASP energy: -8.5751 eV/atom
calculated volume: 14.54 A^3/atom
total moment: 4.7 μB/f.u.
space-group type: P4/mmm, No. 123

abc: 4.372 4.372 3.043
angles: 90.00 90.00 90.00
Atoms (fractional coordinates):
Ce1 0.000 0.000 0.000
U1 0.500 0.500 0.000
O1 0.000 0.500 0.500
O2 0.500 0.000 0.500



A relaxed structure of Ce4UO10, computed with GGA-PBE.

Computed properties:
N(E_F): 17.19 states/eV per cell
VASP energy: -9.1113 eV/atom
relative energy among the computed polymorphs: 0 meV/atom
calculated volume: 13.55 A^3/atom
total moment: 2.2 μB/f.u.
space-group type: I4/m, No. 87

abc: 6.683 6.683 6.683
angles: 99.61 99.61 131.76
Atoms (fractional coordinates):
Ce1 0.099 0.301 0.400
Ce2 0.301 0.901 0.201
Ce3 0.699 0.099 0.799
Ce4 0.901 0.699 0.600
U1 0.500 0.500 0.000
O1 0.067 0.161 0.710
O2 0.161 0.451 0.094
O3 0.250 0.750 0.500
O4 0.357 0.067 0.906
O5 0.451 0.357 0.290
O6 0.549 0.643 0.710
O7 0.643 0.933 0.094
O8 0.750 0.250 0.500
O9 0.839 0.549 0.906
O10 0.933 0.839 0.290



A relaxed structure of Ce2UO6, computed with GGA-PBE.

Computed properties:
N(E_F): 12.41 states/eV per cell
VASP energy: -9.3395 eV/atom
relative energy among the computed polymorphs: 4 meV/atom
calculated volume: 13.52 A^3/atom
total moment: 2.1 μB/f.u.
space-group type: Immm, No. 71

abc: 6.649 6.649 6.649
angles: 146.11 131.46 60.52
Atoms (fractional coordinates):
Ce1 0.166 0.166 0.000
Ce2 0.834 0.834 0.000
U1 0.500 0.500 0.000
O1 0.098 0.340 0.757
O2 0.264 0.000 0.264
O3 0.417 0.660 0.757
O4 0.583 0.340 0.243
O5 0.736 0.000 0.736
O6 0.902 0.660 0.243



Q: Look up the N(E_F) of the second one.
A: 17.19 states/eV per cell